Material: Sr2CrO4
Method: DFT, GGA+U
State: relaxed

The value obtained for the total energy is -6.7084 eV/atom.

The structure belongs to space group P2_1/m (No. 11); the cell edges are 5.531, 6.043 and 7.017 Å and the angles 90.00°, 105.32° and 90.00°. The asymmetric unit holds Sr at (0.091, 0.250, 0.107), Sr at (0.204, 0.750, 0.493), Cr at (0.365, 0.250, 0.730), O at (0.172, 0.021, 0.770), O at (0.307, 0.750, 0.166) and O at (0.319, 0.250, 0.462).